First-principles (PBE-GGA) data for Sb2PRh after structural relaxation, as listed in Alexandria.

The structure in CIF format:
```
data_Sb2PRh
_symmetry_space_group_name_H-M 'I -4 2 d'
_symmetry_Int_Tables_number 122
_symmetry_space_group_name_Hall 'I -4 2bw'
_cell_length_a 6.1510
_cell_length_b 6.1510
_cell_length_c 11.2628
_cell_angle_alpha 90.00
_cell_angle_beta 90.00
_cell_angle_gamma 90.00
loop_
_atom_site_label
_atom_site_fract_x
_atom_site_fract_y
_atom_site_fract_z
_atom_site_occupancy
Sb1 0.2348 0.2500 0.1250 1
P1 0.0000 0.0000 0.5000 1
Rh1 0.0000 0.0000 0.0000 1
```

The total energy is -5.200 eV per atom.


First-principles (PBE-GGA) data for TiGeSe2 after structural relaxation, as listed in Alexandria.

The structure in CIF format:
```
data_TiGeSe2
_symmetry_space_group_name_H-M 'I -4 2 d'
_symmetry_Int_Tables_number 122
_symmetry_space_group_name_Hall 'I -4 2bw'
_cell_length_a 6.1880
_cell_length_b 6.1880
_cell_length_c 11.6790
_cell_angle_alpha 90.00
_cell_angle_beta 90.00
_cell_angle_gamma 90.00
loop_
_atom_site_label
_atom_site_fract_x
_atom_site_fract_y
_atom_site_fract_z
_atom_site_occupancy
Ti1 0.0000 0.0000 0.0000 1
Ge1 0.0000 0.0000 0.5000 1
Se1 0.2191 0.2500 0.1250 1
```

The total energy is -5.160 eV per atom.


First-principles (PBE-GGA) data for CaCr2Se after structural relaxation, as listed in Alexandria.

The structure in CIF format:
```
data_CaCr2Se
_symmetry_space_group_name_H-M 'C 1 2/m 1'
_symmetry_Int_Tables_number 12
_symmetry_space_group_name_Hall '-C 2y'
_cell_length_a 9.0827
_cell_length_b 3.2285
_cell_length_c 5.0484
_cell_angle_alpha 90.00
_cell_angle_beta 100.91
_cell_angle_gamma 90.00
loop_
_atom_site_label
_atom_site_fract_x
_atom_site_fract_y
_atom_site_fract_z
_atom_site_occupancy
Ca1 0.0000 0.0000 0.0000 1
Cr1 0.2328 0.0000 0.6359 1
Se1 0.0000 0.5000 0.5000 1
```

The total energy is -5.947 eV per atom.


First-principles (PBE-GGA) data for GdHfIrPt after structural relaxation, as listed in Alexandria.

The structure in CIF format:
```
data_GdHfIrPt
_symmetry_space_group_name_H-M 'F -4 3 m'
_symmetry_Int_Tables_number 216
_symmetry_space_group_name_Hall 'F -4 2 3'
_cell_length_a 6.7940
_cell_length_b 6.7940
_cell_length_c 6.7940
_cell_angle_alpha 90.00
_cell_angle_beta 90.00
_cell_angle_gamma 90.00
loop_
_atom_site_label
_atom_site_fract_x
_atom_site_fract_y
_atom_site_fract_z
_atom_site_occupancy
Gd1 0.0000 0.0000 0.0000 1
Hf1 0.0000 0.0000 0.5000 1
Ir1 0.2500 0.2500 0.2500 1
Pt1 0.2500 0.2500 0.7500 1
```

The energy of formation from the pure elements comes out at -850 meV/atom. The total energy is -10.584 eV per atom.


First-principles (PBE-GGA) data for ScCo2NiH after structural relaxation, as listed in Alexandria.

The structure in CIF format:
```
data_ScCo2NiH
_symmetry_space_group_name_H-M 'P 4/m m m'
_symmetry_Int_Tables_number 123
_symmetry_space_group_name_Hall '-P 4 2'
_cell_length_a 3.7403
_cell_length_b 3.7403
_cell_length_c 3.7548
_cell_angle_alpha 90.00
_cell_angle_beta 90.00
_cell_angle_gamma 90.00
loop_
_atom_site_label
_atom_site_fract_x
_atom_site_fract_y
_atom_site_fract_z
_atom_site_occupancy
Sc1 0.0000 0.0000 0.0000 1
Co1 0.0000 0.5000 0.5000 1
Ni1 0.5000 0.5000 0.0000 1
H1 0.5000 0.5000 0.5000 1
```

Its relative energy among the computed polymorphs is 0.000 eV/atom. The total energy is -6.149 eV per atom.


First-principles (PBE-GGA) data for Ac5La12Y2 after structural relaxation, as listed in Alexandria.

The structure in CIF format:
```
data_Ac5La12Y2
_symmetry_space_group_name_H-M 'C 1 2/m 1'
_symmetry_Int_Tables_number 12
_symmetry_space_group_name_Hall '-C 2y'
_cell_length_a 18.7365
_cell_length_b 12.3580
_cell_length_c 6.4870
_cell_angle_alpha 90.00
_cell_angle_beta 102.61
_cell_angle_gamma 90.00
loop_
_atom_site_label
_atom_site_fract_x
_atom_site_fract_y
_atom_site_fract_z
_atom_site_occupancy
Ac1 0.0000 0.0000 0.0000 1
Ac2 0.1712 0.5000 0.3583 1
Ac3 0.2159 0.0000 0.0668 1
La1 0.0510 0.5000 0.7738 1
La2 0.1003 0.2573 0.1110 1
La3 0.1220 0.0000 0.5032 1
La4 0.1975 0.2450 0.6937 1
Y1 0.0000 0.2282 0.5000 1
```

The energy of formation from the pure elements comes out at 89 meV/atom. The total energy is -4.785 eV per atom.